A plane-wave DFT calculation with PBE was carried out for Sm3Dy6Ho after structural relaxation.

a = 11.4989 Å, b = 6.5893 Å, c = 9.6023 Å
α = 90.00°, β = 114.03°, γ = 90.00°
Closest atoms and distances in Å follow each position.
Space group C2/m (No. 12)
Inequivalent atoms, fractional coordinates:
Sm  0.0000  0.0000  0.0000 (multiplicity 2)  2 Sm 3.31, 4 Dy 3.32
Sm  0.0686  0.0000  0.6967 (multiplicity 4)  4 Dy 3.28-3.35, 2 Sm 3.31-3.45
Dy  0.1373  0.5000  0.9225 (multiplicity 4)  1 Ho 3.71, 9 Dy 3.84-4.08, 6 Sm 3.84-3.93
Dy  0.1863  0.2530  0.3094 (multiplicity 8)  3 Dy 3.26-3.34, 3 Sm 3.28-3.35
Ho  0.0000  0.5000  0.5000 (multiplicity 2)  10 Dy 3.71, 4 Sm 3.72

Summary:
Energy of formation from the pure elements: 0.23 eV/atom
Density: 7.95 g cm⁻³
Total energy: -4.4089 eV per atom


A plane-wave DFT calculation with PBE was carried out for SmDy7Ho2 after structural relaxation.

a = 6.1308 Å, b = 7.0924 Å, c = 7.9204 Å
α = 77.07°, β = 75.04°, γ = 73.27°
Closest atoms and distances in Å follow each position.
Space group P-1 (No. 2)
Inequivalent atoms, fractional coordinates:
Sm  0.0000  0.0000  0.0000 (multiplicity 1)  10 Dy 3.54-3.55, 2 Ho 3.55
Dy  0.0000  0.5000  0.0000 (multiplicity 1)  8 Dy 3.54-3.55, 2 Ho 3.54, 2 Sm 3.55
Dy  0.1999  0.3005  0.5995 (multiplicity 2)  7 Dy 3.53-3.55, 4 Ho 3.54-3.55, 1 Sm 3.55
Dy  0.4001  0.0999  0.2008 (multiplicity 2)  3 Ho 3.54, 7 Dy 3.54-3.55, 2 Sm 3.54
Dy  0.4006  0.5994  0.2008 (multiplicity 2)  9 Dy 3.53-3.55, 2 Ho 3.54, 1 Sm 3.55
Ho  0.2001  0.7998  0.5995 (multiplicity 2)  10 Dy 3.54-3.55, 1 Ho 3.54, 1 Sm 3.55

Summary:
Energy of formation from the pure elements: 0.02 eV/atom
Density: 8.54 g cm⁻³
Total energy: -4.5938 eV per atom


A plane-wave DFT calculation with PBE was carried out for Sm5DyHo12 after structural relaxation.

a = 18.4544 Å, b = 10.6479 Å, c = 6.1506 Å
α = 90.00°, β = 109.31°, γ = 90.00°
Closest atoms and distances in Å follow each position.
Space group C2/m (No. 12)
Inequivalent atoms, fractional coordinates:
Sm  0.0000  0.0000  0.0000 (multiplicity 2)  10 Ho 3.55-3.56, 2 Sm 3.56
Sm  0.1663  0.5000  0.9993 (multiplicity 4)  10 Ho 3.54-3.56, 1 Dy 3.55, 1 Sm 3.56
Sm  0.1666  0.0000  0.5003 (multiplicity 4)  10 Ho 3.55-3.56, 2 Sm 3.56
Dy  0.0000  0.5000  0.5000 (multiplicity 2)  10 Ho 3.53-3.55, 2 Sm 3.55
Ho  0.0000  0.1682  0.5000 (multiplicity 4)  1 Dy 3.53, 7 Ho 3.53-3.58, 4 Sm 3.56
Ho  0.0000  0.3332  0.0000 (multiplicity 4)  7 Ho 3.54-3.55, 3 Sm 3.55, 2 Dy 3.55
Ho  0.1662  0.3329  0.4995 (multiplicity 8)  7 Ho 3.53-3.56, 4 Sm 3.55-3.56, 1 Dy 3.55
Ho  0.1666  0.1678  0.0003 (multiplicity 8)  5 Sm 3.54-3.56, 7 Ho 3.54-3.57

Summary:
Energy of formation from the pure elements: 0.02 eV/atom
Density: 8.42 g cm⁻³
Total energy: -4.5997 eV per atom


A plane-wave DFT calculation with PBE was carried out for Sm6Dy4Ho after structural relaxation.

a = 5.8268 Å, b = 9.6463 Å, c = 25.6632 Å
α = 90.00°, β = 90.00°, γ = 90.00°
Closest atoms and distances in Å follow each position.
Space group Cmcm (No. 63)
Inequivalent atoms, fractional coordinates:
Sm  0.0000  0.0000  0.0000 (multiplicity 4)  6 Dy 3.19-3.43
Sm  0.0000  0.0523  0.2500 (multiplicity 4)  3 Ho 3.26-3.31, 2 Dy 3.26, 2 Sm 3.60
Sm  0.0000  0.2966  0.6031 (multiplicity 8)  6 Dy 3.32-3.72
Sm  0.0000  0.3795  0.1823 (multiplicity 8)  5 Sm 3.48-3.78, 4 Dy 3.55-3.66, 3 Ho 3.67-3.75
Dy  0.0000  0.0466  0.1230 (multiplicity 8)  6 Sm 3.19-3.55
Dy  0.0000  0.3517  0.0437 (multiplicity 8)  8 Sm 3.43-3.81, 2 Dy 3.58-3.64
Ho  0.0000  0.2856  0.7500 (multiplicity 4)  3 Sm 3.26-3.31

Summary:
Energy of formation from the pure elements: 0.12 eV/atom
Density: 7.91 g cm⁻³
Total energy: -4.5429 eV per atom